Record 1
Na2LiMgBr5 | PBE-GGA | optimized geometry

a = 8.7294 Å, b = 8.7294 Å, c = 14.0523 Å
α = 90.00°, β = 90.00°, γ = 152.49°
With the nearest neighbours (Å) after each atom.
Element x y z (fractional)
Na  0.0998  0.9002  0.5000  6 Br 2.87-3.12
Na  0.1575  0.8425  0.1477  3 Br 2.96-3.01
Na  0.8425  0.1575  0.6477  3 Br 2.96-3.01
Na  0.9002  0.0998  0.0000  6 Br 2.87-3.12
Li  0.2222  0.7778  0.8819  6 Br 2.75-2.86
Li  0.7778  0.2222  0.3819  6 Br 2.75-2.86
Mg  0.4585  0.5415  0.2909  5 Br 2.53-2.76
Mg  0.5415  0.4585  0.7909  5 Br 2.53-2.76
Br  0.0586  0.9414  0.8998  2 Mg 2.60, 1 Li 2.79
Br  0.2682  0.7318  0.5215  2 Li 2.86, 3 Na 2.87-3.01
Br  0.3058  0.6942  0.2584  1 Mg 2.63, 2 Li 2.75
Br  0.3830  0.6170  0.8359  1 Mg 2.76, 1 Li 2.80
Br  0.4971  0.5029  0.1167  1 Mg 2.53
Br  0.5029  0.4971  0.6167  1 Mg 2.53
Br  0.6170  0.3830  0.3359  1 Mg 2.76, 1 Li 2.80
Br  0.6942  0.3058  0.7584  1 Mg 2.63, 2 Li 2.75
Br  0.7318  0.2682  0.0215  2 Li 2.86, 3 Na 2.87-3.01
Br  0.9414  0.0586  0.3998  2 Mg 2.60, 1 Li 2.79

Calculated values
The crystal system is orthorhombic. For the uncorrected formation energy, the calculation gives -1.47 eV per atom.

***

Record 2
MoS2N | PBE-GGA | optimized geometry

a = 6.1782 Å, b = 6.1782 Å, c = 6.1782 Å
α = 131.76°, β = 131.76°, γ = 70.61°
With the nearest neighbours (Å) after each atom.
Element x y z (fractional)
Mo  0.0000  0.0000  0.0000  4 S 2.29
Mo  0.7500  0.2500  0.5000  4 S 2.29
S  0.1587  0.6250  0.0337  2 N 2.09, 2 Mo 2.29
S  0.3750  0.4087  0.5337  2 N 2.09, 2 Mo 2.29
S  0.5913  0.1250  0.9663  2 N 2.09, 2 Mo 2.29
S  0.8750  0.8413  0.4663  2 N 2.09, 2 Mo 2.29
N  0.2500  0.7500  0.5000  4 S 2.09
N  0.5000  0.5000  0.0000  4 S 2.09

Calculated values
The crystal system is tetragonal. For the uncorrected formation energy, the calculation gives 0.88 eV per atom.

***

Record 3
Al5AgOs4 | PBE-GGA | optimized geometry

a = 3.0740 Å, b = 3.0740 Å, c = 15.0657 Å
α = 90.00°, β = 90.00°, γ = 90.00°
With the nearest neighbours (Å) after each atom.
Element x y z (fractional)
Al  0.0000  0.0000  0.0000  8 Os 2.62, 2 Al 2.94
Al  0.0000  0.0000  0.1950  8 Os 2.62-2.66, 1 Al 2.83
Al  0.0000  0.0000  0.3826  4 Os 2.53, 4 Ag 2.80, 1 Al 2.83
Al  0.0000  0.0000  0.6174  4 Os 2.53, 4 Ag 2.80, 1 Al 2.83
Al  0.0000  0.0000  0.8050  8 Os 2.62-2.66, 1 Al 2.83
Ag  0.5000  0.5000  0.5000  8 Al 2.80, 2 Os 3.07, 4 Ag 3.07
Os  0.5000  0.5000  0.0976  8 Al 2.62
Os  0.5000  0.5000  0.2963  8 Al 2.53-2.66
Os  0.5000  0.5000  0.7037  8 Al 2.53-2.66
Os  0.5000  0.5000  0.9024  8 Al 2.62

Calculated values
The calculated formation energy comes out at -0.344 eV/atom. The crystal system is tetragonal.

***

Record 4
LaPaIr2 | PBE-GGA | optimized geometry

a = 4.3524 Å, b = 5.7799 Å, c = 7.7204 Å
α = 90.00°, β = 90.00°, γ = 90.00°
With the nearest neighbours (Å) after each atom.
Element x y z (fractional)
La  0.2500  0.2500  0.0847  6 Ir 3.00-3.11
La  0.7500  0.7500  0.9153  6 Ir 3.00-3.11
Pa  0.2500  0.7500  0.4212  6 Ir 2.77-2.84
Pa  0.7500  0.2500  0.5788  6 Ir 2.77-2.84
Ir  0.2500  0.0037  0.7259  3 Pa 2.77-2.84, 2 Ir 2.85-2.93, 2 La 3.00
Ir  0.2500  0.4963  0.7259  3 Pa 2.77-2.84, 2 Ir 2.85-2.93, 2 La 3.00
Ir  0.7500  0.5037  0.2741  3 Pa 2.77-2.84, 2 Ir 2.85-2.93, 2 La 3.00
Ir  0.7500  0.9963  0.2741  3 Pa 2.77-2.84, 2 Ir 2.85-2.93, 2 La 3.00

Calculated values
The calculated formation energy comes out at -0.856 eV/atom. The crystal system is orthorhombic.

***

Record 5
BaSc2Br | PBE-GGA | optimized geometry

a = 5.6929 Å, b = 5.6929 Å, c = 3.6345 Å
α = 90.00°, β = 90.00°, γ = 90.00°
With the nearest neighbours (Å) after each atom.
Element x y z (fractional)
Ba  0.0000  0.0000  0.0000  8 Sc 3.38, 2 Ba 3.63
Sc  0.0000  0.5000  0.5000  4 Ba 3.38, 4 Br 3.38, 2 Sc 3.63
Sc  0.5000  0.0000  0.5000  4 Ba 3.38, 4 Br 3.38, 2 Sc 3.63
Br  0.5000  0.5000  0.0000  8 Sc 3.38, 2 Br 3.63

Calculated values
The crystal system is tetragonal. For the uncorrected formation energy, the calculation gives 0.25 eV per atom.

***

Record 6
MgAlMo | PBE-GGA | optimized geometry

a = 5.1570 Å, b = 5.1570 Å, c = 5.1570 Å
α = 148.02°, β = 136.23°, γ = 55.22°
With the nearest neighbours (Å) after each atom.
Element x y z (fractional)
Mg  0.0000  0.0000  0.0000  2 Mg 2.84, 5 Al 2.88-2.96, 5 Mo 2.88-2.95
Al  0.3234  0.3234  0.0000  4 Mo 2.74, 2 Al 2.84, 5 Mg 2.88-2.96
Mo  0.6768  0.6768  0.0000  4 Al 2.74, 2 Mo 2.84, 5 Mg 2.88-2.95

Calculated values
The calculated formation energy comes out at 0.135 eV/atom. The crystal system is orthorhombic.

***

Record 7
As2Ir | PBE-GGA | optimized geometry

a = 6.4362 Å, b = 6.4362 Å, c = 6.5091 Å
α = 105.40°, β = 105.40°, γ = 25.99°
With the nearest neighbours (Å) after each atom.
Element x y z (fractional)
As  0.1205  0.1205  0.0624  4 Ir 2.72-2.74, 3 As 2.89-2.91
As  0.1349  0.1349  0.5740  4 Ir 2.62-2.63, 2 As 2.89
As  0.8651  0.8651  0.4260  4 Ir 2.62-2.63, 2 As 2.89
As  0.8795  0.8795  0.9376  4 Ir 2.72-2.74, 3 As 2.89-2.91
Ir  0.4978  0.4978  0.7225  8 As 2.62-2.74, 3 Ir 2.89-2.91
Ir  0.5022  0.5022  0.2775  8 As 2.62-2.74, 3 Ir 2.89-2.91

Calculated values
The calculated formation energy comes out at 0.036 eV/atom. The crystal system is monoclinic.

***

Record 8
RbTiSn3 | PBE-GGA | optimized geometry

a = 5.7702 Å, b = 5.7702 Å, c = 5.7702 Å
α = 90.00°, β = 90.00°, γ = 90.00°
With the nearest neighbours (Å) after each atom.
Element x y z (fractional)
Rb  0.0000  0.0000  0.0000  6 Sn 2.89
Ti  0.5000  0.5000  0.5000  12 Sn 4.08
Sn  0.0000  0.0000  0.5000  2 Rb 2.89
Sn  0.0000  0.5000  0.0000  2 Rb 2.89
Sn  0.5000  0.0000  0.0000  2 Rb 2.89

Calculated values
The calculated formation energy comes out at 1.757 eV/atom. The crystal system is cubic.

***

Record 9
Ho2AlNi3Ge4 | PBE-GGA | optimized geometry

a = 4.0081 Å, b = 4.0081 Å, c = 10.3148 Å
α = 90.00°, β = 90.00°, γ = 90.00°
With the nearest neighbours (Å) after each atom.
Element x y z (fractional)
Ho  0.0000  0.5000  0.2402  8 Ge 3.06-3.19, 6 Ni 3.07-3.35, 2 Al 3.35
Ho  0.5000  0.0000  0.7598  8 Ge 3.06-3.19, 6 Ni 3.07-3.35, 2 Al 3.35
Al  0.0000  0.0000  0.5000  4 Ge 2.52
Ni  0.0000  0.5000  0.8734  5 Ge 2.32-2.39
Ni  0.5000  0.0000  0.1266  5 Ge 2.32-2.39
Ni  0.5000  0.5000  0.5000  4 Ge 2.52
Ge  0.0000  0.0000  0.0000  4 Ni 2.39
Ge  0.0000  0.5000  0.6485  3 Ni 2.32-2.52, 2 Al 2.52
Ge  0.5000  0.0000  0.3515  3 Ni 2.32-2.52, 2 Al 2.52
Ge  0.5000  0.5000  0.0000  4 Ni 2.39

Calculated values
The calculated formation energy comes out at -0.657 eV/atom. The crystal system is tetragonal.

***

Record 10
CaZr2Co | PBE-GGA | optimized geometry

a = 5.9504 Å, b = 5.9504 Å, c = 5.9504 Å
α = 147.98°, β = 127.79°, γ = 62.57°
With the nearest neighbours (Å) after each atom.
Element x y z (fractional)
Ca  0.0000  0.0000  0.0000  4 Co 3.09, 2 Ca 3.28, 4 Zr 3.30
Zr  0.3029  0.8029  0.5000  2 Co 2.59
Zr  0.6971  0.1971  0.5000  2 Co 2.59
Co  0.5000  0.5000  0.0000  4 Zr 2.59

Calculated values
The calculated formation energy comes out at 0.078 eV/atom. The crystal system is orthorhombic.

***

For reference, magnetic moment by record: 0.000, 0.000, 0.000, 0.000, 0.002, 0.000, 0.000, 0.000, 0.000, 0.000 μB per formula unit.